Here is an optimized crystal structure of Fe2OsW from Alexandria. Energies are from PBE.

extended XYZ file:
```
4
Lattice="3.0163 0.0000 0.0000 0.0000 3.0163 0.0000 0.0000 0.0000 5.9404" Properties=species:S:1:pos:R:3 pbc="T T T"
Fe 0.0000 0.0000 0.0000
Fe 1.5081 1.5081 1.2589
Os 0.0000 0.0000 2.8370
W 1.5081 1.5081 4.4294
```

Summary:
The uncorrected energy comes out at -10.1734 eV/atom. As for the space group: P4mm, No. 99.